Entry 1:
# SmY2Sc PBE optimized geometry
# - Polymorph energy (0 for the lowest one): 0.08 eV per formula unit
# - SG: No. 123
# - Energy relative to the elements: 0.05 eV per atom
data_SmY2Sc
_chemical_formula_sum 'Sm1 Y2 Sc1'
_symmetry_space_group_name_H-M 'P 1'
_symmetry_Int_Tables_number 1
_cell_length_a 3.520
_cell_length_b 3.520
_cell_length_c 9.883
_cell_angle_alpha 90.00
_cell_angle_beta 90.00
_cell_angle_gamma 90.00
loop_
_symmetry_equiv_pos_as_xyz
'x,y,z'
loop_
_atom_site_label
_atom_site_fract_x
_atom_site_fract_y
_atom_site_fract_z
_atom_site_occupancy
Y1 0.000 0.000 0.763 1
Y2 0.000 0.000 0.237 1
Sc1 0.500 0.500 0.000 1
Sm1 0.500 0.500 0.500 1

---

Entry 2:
# HoScCuNi PBE optimized geometry
# - Polymorph energy (0 for the lowest one): 0.09 eV per formula unit
# - SG: No. 216
# - Energy relative to the elements: -0.34 eV per atom
data_HoScCuNi
_chemical_formula_sum 'Ho1 Sc1 Cu1 Ni1'
_symmetry_space_group_name_H-M 'P 1'
_symmetry_Int_Tables_number 1
_cell_length_a 4.684
_cell_length_b 4.684
_cell_length_c 4.684
_cell_angle_alpha 60.00
_cell_angle_beta 60.00
_cell_angle_gamma 60.00
loop_
_symmetry_equiv_pos_as_xyz
'x,y,z'
loop_
_atom_site_label
_atom_site_fract_x
_atom_site_fract_y
_atom_site_fract_z
_atom_site_occupancy
Sc1 0.500 0.500 0.500 1
Ni1 0.750 0.750 0.750 1
Ho1 0.000 0.000 0.000 1
Cu1 0.250 0.250 0.250 1

---

Entry 3:
# MgTaCu2S PBE optimized geometry
# - Polymorph energy (0 for the lowest one): 0.00 eV per formula unit
# - E_form (uncorrected): 0.340 eV/atom
# - SG: No. 123
data_MgTaCu2S
_chemical_formula_sum 'Mg1 Ta1 Cu2 S1'
_symmetry_space_group_name_H-M 'P 1'
_symmetry_Int_Tables_number 1
_cell_length_a 4.374
_cell_length_b 4.613
_cell_length_c 4.374
_cell_angle_alpha 90.00
_cell_angle_beta 90.00
_cell_angle_gamma 90.00
loop_
_symmetry_equiv_pos_as_xyz
'x,y,z'
loop_
_atom_site_label
_atom_site_fract_x
_atom_site_fract_y
_atom_site_fract_z
_atom_site_occupancy
S1 0.000 0.000 0.000 1
Mg1 0.500 0.500 0.500 1
Cu1 0.000 0.000 0.500 1
Cu2 0.500 0.000 0.000 1
Ta1 0.000 0.500 0.000 1

---

Entry 4:
# CsNb3Rh PBE optimized geometry
# - Polymorph energy (0 for the lowest one): 7.49 eV per formula unit
# - SG: No. 221
# - Energy relative to the elements: 2.88 eV per atom
data_CsNb3Rh
_chemical_formula_sum 'Cs1 Nb3 Rh1'
_symmetry_space_group_name_H-M 'P 1'
_symmetry_Int_Tables_number 1
_cell_length_a 4.965
_cell_length_b 4.965
_cell_length_c 4.965
_cell_angle_alpha 90.00
_cell_angle_beta 90.00
_cell_angle_gamma 90.00
loop_
_symmetry_equiv_pos_as_xyz
'x,y,z'
loop_
_atom_site_label
_atom_site_fract_x
_atom_site_fract_y
_atom_site_fract_z
_atom_site_occupancy
Cs1 0.000 0.000 0.000 1
Nb1 0.000 0.500 0.000 1
Nb2 0.000 0.000 0.500 1
Nb3 0.500 0.000 0.000 1
Rh1 0.500 0.500 0.500 1

---

Entry 5:
# Th4AuC3 PBE optimized geometry
# - SG: No. 194
# - Energy relative to the elements: -0.39 eV per atom
data_Th4AuC3
_chemical_formula_sum 'Th8 Au2 C6'
_symmetry_space_group_name_H-M 'P 1'
_symmetry_Int_Tables_number 1
_cell_length_a 3.788
_cell_length_b 3.788
_cell_length_c 27.339
_cell_angle_alpha 90.00
_cell_angle_beta 90.00
_cell_angle_gamma 120.00
loop_
_symmetry_equiv_pos_as_xyz
'x,y,z'
loop_
_atom_site_label
_atom_site_fract_x
_atom_site_fract_y
_atom_site_fract_z
_atom_site_occupancy
C1 0.000 0.000 0.000 1
C2 0.000 0.000 0.500 1
C3 0.333 0.667 0.882 1
C4 0.667 0.333 0.118 1
C5 0.667 0.333 0.382 1
C6 0.333 0.667 0.618 1
Au1 0.667 0.333 0.750 1
Au2 0.333 0.667 0.250 1
Th1 0.667 0.333 0.945 1
Th2 0.333 0.667 0.055 1
Th3 0.333 0.667 0.445 1
Th4 0.667 0.333 0.555 1
Th5 0.000 0.000 0.834 1
Th6 0.000 0.000 0.166 1
Th7 0.000 0.000 0.334 1
Th8 0.000 0.000 0.666 1

---

Entry 6:
# H7Pd2Rh2 PBE optimized geometry
# - SG: No. 65
# - Raw total energy: -4.435 eV per atom
data_H7Pd2Rh2
_chemical_formula_sum 'H7 Pd2 Rh2'
_symmetry_space_group_name_H-M 'P 1'
_symmetry_Int_Tables_number 1
_cell_length_a 4.347
_cell_length_b 4.379
_cell_length_c 4.379
_cell_angle_alpha 85.87
_cell_angle_beta 90.02
_cell_angle_gamma 90.02
loop_
_symmetry_equiv_pos_as_xyz
'x,y,z'
loop_
_atom_site_label
_atom_site_fract_x
_atom_site_fract_y
_atom_site_fract_z
_atom_site_occupancy
H1 0.247 0.000 0.500 1
H2 0.753 0.500 0.000 1
H3 0.753 0.000 0.500 1
H4 0.247 0.500 0.000 1
H5 0.000 0.000 0.000 1
H6 0.765 0.500 0.500 1
H7 0.235 0.500 0.500 1
Pd1 0.500 0.240 0.760 1
Pd2 0.500 0.760 0.240 1
Rh1 0.000 0.264 0.264 1
Rh2 0.000 0.736 0.736 1

---

Entry 7:
# BaAc7Pb4 PBE optimized geometry
# - SG: No. 12
# - Energy relative to the elements: -0.12 eV per atom
data_BaAc7Pb4
_chemical_formula_sum 'Ba1 Ac7 Pb4'
_symmetry_space_group_name_H-M 'P 1'
_symmetry_Int_Tables_number 1
_cell_length_a 6.417
_cell_length_b 10.483
_cell_length_c 8.382
_cell_angle_alpha 79.11
_cell_angle_beta 67.49
_cell_angle_gamma 72.18
loop_
_symmetry_equiv_pos_as_xyz
'x,y,z'
loop_
_atom_site_label
_atom_site_fract_x
_atom_site_fract_y
_atom_site_fract_z
_atom_site_occupancy
Ba1 0.000 0.000 0.000 1
Ac1 0.785 0.884 0.546 1
Ac2 0.215 0.116 0.454 1
Ac3 0.057 0.618 0.268 1
Ac4 0.943 0.382 0.732 1
Ac5 0.317 0.605 0.761 1
Ac6 0.500 0.000 0.000 1
Ac7 0.683 0.395 0.239 1
Pb1 0.569 0.232 0.630 1
Pb2 0.431 0.768 0.370 1
Pb3 0.695 0.672 0.937 1
Pb4 0.305 0.328 0.063 1

---

Entry 8:
# Hf2TeC PBE optimized geometry
# - E_form (uncorrected): -0.602 eV/atom
# - SG: No. 11
data_Hf2TeC
_chemical_formula_sum 'Hf4 Te2 C2'
_symmetry_space_group_name_H-M 'P 1'
_symmetry_Int_Tables_number 1
_cell_length_a 3.419
_cell_length_b 6.001
_cell_length_c 7.477
_cell_angle_alpha 75.18
_cell_angle_beta 90.00
_cell_angle_gamma 90.00
loop_
_symmetry_equiv_pos_as_xyz
'x,y,z'
loop_
_atom_site_label
_atom_site_fract_x
_atom_site_fract_y
_atom_site_fract_z
_atom_site_occupancy
Hf1 0.038 0.910 0.679 1
Hf2 0.538 0.285 0.331 1
Hf3 0.038 0.962 0.063 1
Hf4 0.538 0.338 0.715 1
Te1 0.038 0.468 0.000 1
Te2 0.538 0.779 0.393 1
C1 0.038 0.283 0.526 1
C2 0.538 0.965 0.868 1

---

Entry 9:
# NdAl2Cd PBE optimized geometry
# - Polymorph energy (0 for the lowest one): 0.00 eV per formula unit
# - SG: No. 123
# - Energy relative to the elements: -0.30 eV per atom
data_NdAl2Cd
_chemical_formula_sum 'Nd1 Al2 Cd1'
_symmetry_space_group_name_H-M 'P 1'
_symmetry_Int_Tables_number 1
_cell_length_a 4.410
_cell_length_b 4.515
_cell_length_c 4.515
_cell_angle_alpha 90.00
_cell_angle_beta 90.00
_cell_angle_gamma 90.00
loop_
_symmetry_equiv_pos_as_xyz
'x,y,z'
loop_
_atom_site_label
_atom_site_fract_x
_atom_site_fract_y
_atom_site_fract_z
_atom_site_occupancy
Nd1 0.500 0.500 0.500 1
Al1 0.000 0.000 0.500 1
Al2 0.000 0.500 0.000 1
Cd1 0.500 0.000 0.000 1

---

Entry 10:
# GaPbBr5 PBE optimized geometry
# - E_form (uncorrected): -0.824 eV/atom
# - SG: No. 2
data_GaPbBr5
_chemical_formula_sum 'Ga2 Pb2 Br10'
_symmetry_space_group_name_H-M 'P 1'
_symmetry_Int_Tables_number 1
_cell_length_a 7.748
_cell_length_b 7.747
_cell_length_c 10.888
_cell_angle_alpha 110.31
_cell_angle_beta 110.27
_cell_angle_gamma 87.51
loop_
_symmetry_equiv_pos_as_xyz
'x,y,z'
loop_
_atom_site_label
_atom_site_fract_x
_atom_site_fract_y
_atom_site_fract_z
_atom_site_occupancy
Ga1 0.900 0.600 0.250 1
Ga2 0.100 0.400 0.750 1
Pb1 0.500 0.000 0.000 1
Pb2 0.500 0.000 0.500 1
Br1 0.770 0.699 0.057 1
Br2 0.228 0.644 0.332 1
Br3 0.396 0.105 0.250 1
Br4 0.801 0.730 0.443 1
Br5 0.199 0.270 0.557 1
Br6 0.856 0.271 0.168 1
Br7 0.144 0.729 0.832 1
Br8 0.604 0.895 0.750 1
Br9 0.772 0.356 0.668 1
Br10 0.230 0.301 0.943 1

---

Entry 11:
# Dy3Ho2Er6Pb PBE optimized geometry
# - SG: No. 12
# - Energy relative to the elements: -0.05 eV per atom
data_Dy3Ho2Er6Pb
_chemical_formula_sum 'Dy3 Ho2 Er6 Pb1'
_symmetry_space_group_name_H-M 'P 1'
_symmetry_Int_Tables_number 1
_cell_length_a 6.055
_cell_length_b 6.055
_cell_length_c 11.590
_cell_angle_alpha 95.03
_cell_angle_beta 95.03
_cell_angle_gamma 120.02
loop_
_symmetry_equiv_pos_as_xyz
'x,y,z'
loop_
_atom_site_label
_atom_site_fract_x
_atom_site_fract_y
_atom_site_fract_z
_atom_site_occupancy
Dy1 0.167 0.833 0.500 1
Dy2 0.833 0.167 0.500 1
Dy3 0.500 0.500 0.500 1
Ho1 0.334 0.666 0.000 1
Ho2 0.666 0.334 0.000 1
Er1 0.918 0.589 0.752 1
Er2 0.752 0.752 0.249 1
Er3 0.082 0.411 0.248 1
Er4 0.589 0.918 0.752 1
Er5 0.248 0.248 0.751 1
Er6 0.411 0.082 0.248 1
Pb1 0.000 0.000 0.000 1

---

Entry 12:
# TaSiH2Os PBE optimized geometry
# - Polymorph energy (0 for the lowest one): 0.26 eV per formula unit
# - SG: No. 123
data_TaSiH2Os
_chemical_formula_sum 'Ta1 Si1 H2 Os1'
_symmetry_space_group_name_H-M 'P 1'
_symmetry_Int_Tables_number 1
_cell_length_a 3.597
_cell_length_b 4.947
_cell_length_c 3.597
_cell_angle_alpha 90.00
_cell_angle_beta 90.00
_cell_angle_gamma 90.00
loop_
_symmetry_equiv_pos_as_xyz
'x,y,z'
loop_
_atom_site_label
_atom_site_fract_x
_atom_site_fract_y
_atom_site_fract_z
_atom_site_occupancy
H1 0.000 0.000 0.500 1
H2 0.500 0.000 0.000 1
Si1 0.000 0.000 0.000 1
Os1 0.000 0.500 0.000 1
Ta1 0.500 0.500 0.500 1

---

no.,magnetic moment (μB/atom)
1,0.00
2,0.00
3,0.00
4,0.00
5,0.00
6,0.00
7,0.02
8,0.00
9,0.00
10,0.00
11,0.00
12,0.00